A plane-wave DFT calculation with PBE-GGA was carried out for a relaxed structure of AcTbP2Rh5.

Properties
magnetization: 0.00 μB/f.u.
energy of formation: -0.812 eV/atom
VASP energy: -63.62 eV per formula unit

Cell: 4.1224 4.1224 10.6382 Å, 90.00 90.00 90.00°
Last column: nearest neighbours and their distance in Å.
Fractional coordinates of all 9 atoms:
Ac  0.0000  0.0000  0.0000  4 Rh 2.91
Tb  0.0000  0.0000  0.5000  8 Rh 2.92
P  0.5000  0.5000  0.2159  5 Rh 2.27-2.30
P  0.5000  0.5000  0.7841  5 Rh 2.27-2.30
Rh  0.0000  0.5000  0.3054  2 P 2.27
Rh  0.0000  0.5000  0.6946  2 P 2.27
Rh  0.5000  0.0000  0.3054  2 P 2.27
Rh  0.5000  0.0000  0.6946  2 P 2.27
Rh  0.5000  0.5000  0.0000  2 P 2.30